First-principles (PBE) data for a geometry-optimized Rb5Te3H4NCl18 structure, as listed in the Alexandria database.

Calculated values
Total DFT energy (no corrections): -3.33 eV/atom
Crystal system: trigonal
Spin magnetization: 0.000 μB per atom

Cell lengths 7.436, 7.436, 18.219 Å; angles 90.00, 90.00, 120.00 degrees
Positions (direct):
Rb 0.000 0.000 0.000
Rb 0.000 0.000 0.498
Rb 0.333 0.667 0.331
Rb 0.333 0.667 0.833
Rb 0.667 0.333 0.665
Te 0.000 0.000 0.749
Te 0.333 0.667 0.084
Te 0.667 0.333 0.414
H 0.515 0.258 0.184
H 0.667 0.333 0.109
H 0.742 0.258 0.184
H 0.742 0.485 0.184
N 0.667 0.333 0.165
Cl 0.008 0.504 0.002
Cl 0.162 0.325 0.667
Cl 0.162 0.838 0.667
Cl 0.170 0.341 0.165
Cl 0.170 0.830 0.165
Cl 0.325 0.162 0.830
Cl 0.341 0.170 0.333
Cl 0.496 0.504 0.002
Cl 0.496 0.992 0.002
Cl 0.504 0.009 0.495
Cl 0.504 0.496 0.495
Cl 0.659 0.830 0.165
Cl 0.675 0.838 0.667
Cl 0.830 0.170 0.333
Cl 0.830 0.659 0.333
Cl 0.838 0.162 0.830
Cl 0.838 0.675 0.830
Cl 0.991 0.496 0.495



First-principles (PBE) data for a geometry-optimized ReH8N2Cl6 structure, as listed in the Alexandria database.

Calculated values
Total DFT energy (no corrections): -4.59 eV/atom
Crystal system: cubic
Spin magnetization: 0.176 μB per atom

Cell lengths 7.127, 7.127, 7.127 Å; angles 60.00, 60.00, 60.00 degrees
Positions (direct):
Re 0.000 0.000 0.000
H 0.073 0.309 0.309
H 0.309 0.073 0.309
H 0.309 0.309 0.073
H 0.309 0.309 0.309
H 0.691 0.691 0.691
H 0.691 0.691 0.927
H 0.691 0.927 0.691
H 0.927 0.691 0.691
N 0.250 0.250 0.250
N 0.750 0.750 0.750
Cl 0.236 0.236 0.764
Cl 0.236 0.764 0.236
Cl 0.236 0.764 0.764
Cl 0.764 0.236 0.236
Cl 0.764 0.236 0.764
Cl 0.764 0.764 0.236



First-principles (PBE) data for a geometry-optimized ReH30Ru2N10Cl10 structure, as listed in the Alexandria database.

Calculated values
Total DFT energy (no corrections): -4.93 eV/atom
Crystal system: monoclinic
Spin magnetization: 0.096 μB per atom

Cell lengths 7.150, 7.150, 13.464 Å; angles 97.87, 97.87, 70.50 degrees
Positions (direct):
Re 0.000 0.000 0.000
H 0.043 0.466 0.250
H 0.044 0.333 0.812
H 0.044 0.628 0.607
H 0.111 0.530 0.854
H 0.215 0.512 0.529
H 0.257 0.676 0.619
H 0.324 0.743 0.381
H 0.333 0.044 0.812
H 0.372 0.956 0.393
H 0.397 0.594 0.167
H 0.406 0.603 0.833
H 0.446 0.446 0.259
H 0.466 0.043 0.250
H 0.470 0.889 0.146
H 0.488 0.785 0.471
H 0.512 0.215 0.529
H 0.530 0.111 0.854
H 0.534 0.957 0.750
H 0.554 0.554 0.741
H 0.594 0.397 0.167
H 0.603 0.406 0.833
H 0.628 0.044 0.607
H 0.667 0.956 0.188
H 0.676 0.257 0.619
H 0.743 0.324 0.381
H 0.785 0.488 0.471
H 0.889 0.470 0.146
H 0.956 0.372 0.393
H 0.956 0.667 0.188
H 0.957 0.534 0.750
Ru 0.322 0.322 0.696
Ru 0.678 0.678 0.304
N 0.082 0.446 0.789
N 0.195 0.564 0.603
N 0.436 0.805 0.397
N 0.446 0.082 0.789
N 0.490 0.490 0.786
N 0.510 0.510 0.214
N 0.554 0.918 0.211
N 0.564 0.195 0.603
N 0.805 0.436 0.397
N 0.918 0.554 0.211
Cl 0.000 0.000 0.178
Cl 0.000 0.000 0.822
Cl 0.140 0.140 0.595
Cl 0.206 0.206 0.029
Cl 0.288 0.712 0.000
Cl 0.323 0.323 0.371
Cl 0.677 0.677 0.629
Cl 0.712 0.288 0.000
Cl 0.794 0.794 0.971
Cl 0.860 0.860 0.405